First-principles (GGA-PBE) data for a geometry-optimized PmTm6Tl4 structure, as listed in the Alexandria database.

```
PmTm6Tl4
1.0
3.735 0.000 0.000
0.000 9.960 0.000
0.000 -4.980 8.625
Pm Tm Tl
1 6 4
Cartesian
0.000 0.000 0.000
0.000 4.980 0.663
1.867 2.122 6.976
0.000 3.064 3.981
0.000 6.895 3.981
1.867 -2.122 6.976
1.867 0.000 3.300
1.867 4.980 5.794
1.867 2.452 1.416
1.867 7.507 1.416
0.000 0.000 5.750
```

**Fermi-level density of states**: 8.67 states/eV/cell
**E_form**: -2.4 eV/f.u.
**ρ**: 10.23 g/cm³
**Crystal system**: hexagonal
**Total energy**: -3.95 eV/atom


First-principles (GGA-PBE) data for a geometry-optimized Pm2TmTl2 structure, as listed in the Alexandria database.

```
Pm2TmTl2
1.0
4.556 0.000 0.000
0.000 8.170 0.000
0.000 0.000 8.170
Pm Tm Tl
4 2 4
Cartesian
2.278 1.402 5.487
2.278 5.487 6.769
2.278 6.769 2.684
2.278 2.684 1.402
0.000 0.000 0.000
0.000 4.085 4.085
0.000 3.012 7.097
0.000 7.097 5.158
0.000 5.158 1.073
0.000 1.073 3.012
```

**Fermi-level density of states**: 12.75 states/eV/cell
**E_form**: -1.6 eV/f.u.
**ρ**: 9.47 g/cm³
**Relative energy among the computed polymorphs**: 0 meV per atom
**Crystal system**: tetragonal
**Total energy**: -4.06 eV/atom